[1]
Cs2BNO | PBE | relaxed

Summary:
- size of the total moment (μB/f.u.) = 0.75
- uncorrected formation energy (eV per formula unit) = 0.24
- raw total energy (eV per atom) = -4.285

Lattice parameters (Å, degrees): 6.086 2.963 6.086 90.00 90.00 90.00
Last column: magnetic moment on the atom in μB.
Fractional positions:
N  0.000  0.000  0.000  -0.01
Cs  0.500  0.000  0.000  -0.01
Cs  0.000  0.000  0.500  0.00
B  0.000  0.500  0.000  0.02
O  0.500  0.500  0.500  0.60

=====

[2]
CsBN2O | PBE | relaxed

Summary:
- size of the total moment (μB/f.u.) = 0.00
- uncorrected formation energy (eV per formula unit) = 5.26
- raw total energy (eV per atom) = -4.775

Lattice parameters (Å, degrees): 3.321 3.321 6.430 90.00 90.00 90.00
Fractional positions:
B  0.000  0.000  0.000
O  0.000  0.000  0.500
Cs  0.500  0.500  0.500
N  0.000  0.500  0.000
N  0.500  0.000  0.000

=====

[3]
CsScB2N | PBE | relaxed

Summary:
- size of the total moment (μB/f.u.) = 0.07
- uncorrected formation energy (eV per formula unit) = 13.70
- raw total energy (eV per atom) = -3.032

Lattice parameters (Å, degrees): 4.680 4.393 4.680 90.00 90.00 90.00
Fractional positions:
B  0.000  0.000  0.500
B  0.500  0.000  0.000
Cs  0.000  0.000  0.000
Sc  0.500  0.500  0.500
N  0.000  0.500  0.000